! meta-GGA SCAN SrReAs, single point on PBEsol structure; values from VASP
&SYSTEM
  ibrav = 0, nat = 3, ntyp = 3
/
ATOMIC_SPECIES
As 74.92 As.upf
Re 186.21 Re.upf
Sr 87.62 Sr.upf
ATOMIC_POSITIONS angstrom
As 2.2711 1.3112 0.9272
Re 0.0000 0.0000 0.0000
Sr 4.5421 2.6224 1.8543
CELL_PARAMETERS angstrom
4.5421 0.0000 0.0000
2.2711 3.9336 0.0000
2.2711 1.3112 3.7086
! Crystal system: cubic
! DOS(E_F) in states/eV per atom: 0.739
! Space group: F-43m, No. 216
! ΔH_f (0 K) in eV per atom: 0.696
! V in Å³ per cell: 66